The following is a DFT calculation (meta-GGA SCAN) of a crystal of Ta3CoH relaxed with PBEsol.

DOS(E_F) = 4.701 states/eV/f.u.
final energy = -219.67 eV per formula unit

a b c (Å): 4.0409 4.0409 4.0409
angles (deg): 90.00 90.00 90.00
Element x y z (fractional)
Ta1 0.0000 0.0000 0.5000
Ta2 0.0000 0.5000 0.0000
Ta3 0.5000 0.0000 0.0000
Co1 0.5000 0.5000 0.5000
H1 0.0000 0.0000 0.0000